A geometry-optimized ThSc3Sn2 structure, computed with GGA-PBE.

Geometry as POSCAR:
```
ThSc3Sn2
1.0
-0.546 -1.889 -4.078
5.721 -6.498 4.757
-8.421 0.048 1.106
Th Sc Sn
2 6 4
Cartesian
-3.849 -6.623 1.070 Th
0.603 -1.716 0.714 Th
-0.936 -4.524 2.221 Sc
-0.243 -7.348 0.923 Sc
-5.390 -2.960 -0.420 Sc
2.143 -5.379 2.204 Sc
-3.003 -0.991 0.861 Sc
-2.310 -3.815 -0.437 Sc
-1.513 -7.151 3.515 Sn
-1.734 -1.188 -1.731 Sn
0.699 -4.804 -0.382 Sn
-3.945 -3.535 2.166 Sn
```

Output
Formation energy (eV/atom): -0.43

A geometry-optimized LiB2H3O5 structure, computed with GGA-PBE.

Geometry as POSCAR:
```
LiB2H3O5
1.0
8.396 0.000 0.000
0.000 9.783 0.000
0.000 0.000 9.963
Li B H O
8 16 24 40
Cartesian
4.418 8.145 4.431 Li
0.220 6.529 0.551 Li
3.978 8.145 0.551 Li
8.175 6.529 4.431 Li
3.978 1.638 5.532 Li
8.175 3.254 9.412 Li
4.418 1.638 9.412 Li
0.220 3.254 5.532 Li
2.099 7.337 2.645 B
6.297 7.337 2.337 B
6.297 2.446 7.318 B
2.099 2.446 7.626 B
6.084 5.282 0.955 B
1.886 9.392 4.026 B
2.311 5.282 4.026 B
6.509 9.392 0.955 B
2.311 4.500 9.008 B
6.509 0.391 5.937 B
6.084 4.500 5.937 B
1.886 0.391 9.008 B
4.198 5.945 2.491 B
0.000 8.729 2.491 B
4.198 3.837 7.472 B
0.000 1.054 7.472 B
5.945 3.976 9.345 H
1.747 0.916 5.599 H
2.451 3.976 5.599 H
6.648 0.916 9.345 H
2.451 5.807 0.618 H
6.648 8.867 4.364 H
5.945 5.807 4.364 H
1.747 8.867 0.618 H
3.405 2.308 1.805 H
7.603 2.583 3.177 H
4.990 2.308 3.177 H
0.792 2.583 1.805 H
4.990 7.474 8.158 H
0.792 7.199 6.786 H
3.405 7.474 6.786 H
7.603 7.199 8.158 H
4.213 3.547 1.233 H
0.015 1.345 3.748 H
4.182 3.547 3.748 H
8.380 1.345 1.233 H
4.182 6.236 8.730 H
8.380 8.438 6.215 H
4.213 6.236 6.215 H
0.015 8.438 8.730 H
4.420 7.197 8.894 O
0.223 7.477 6.051 O
3.975 7.197 6.051 O
8.173 7.477 8.894 O
3.975 2.586 1.070 O
8.173 2.306 3.912 O
4.420 2.586 3.912 O
0.223 2.306 1.070 O
6.609 4.490 9.903 O
2.411 0.401 5.042 O
1.787 4.490 5.042 O
5.985 0.401 9.903 O
1.787 5.292 0.060 O
5.985 9.382 4.921 O
6.609 5.292 4.921 O
2.411 9.382 0.060 O
4.823 5.062 1.463 O
0.625 9.612 3.519 O
3.573 5.062 3.519 O
7.771 9.612 1.463 O
3.573 4.720 8.500 O
7.771 0.171 6.444 O
4.823 4.720 6.444 O
0.625 0.171 8.500 O
5.230 6.770 3.174 O
1.032 7.904 1.808 O
3.166 6.770 1.808 O
7.364 7.904 3.174 O
3.166 3.013 6.790 O
7.364 1.878 8.155 O
5.230 3.013 8.155 O
1.032 1.878 6.790 O
6.889 6.271 1.456 O
2.691 8.403 3.525 O
1.507 6.271 3.525 O
5.704 8.403 1.456 O
1.507 3.512 8.507 O
5.704 1.380 6.438 O
6.889 3.512 6.438 O
2.691 1.380 8.507 O
```

Output
E_tot (eV/atom): -6.42

A geometry-optimized Pr2Nd3Y8 structure, computed with GGA-PBE.

Geometry as POSCAR:
```
Pr2Nd3Y8
1.0
-2.423 -3.533 -3.774
6.562 -4.087 -0.387
-6.565 -3.952 7.916
Pr Nd Y
2 3 8
Cartesian
-2.800 -4.658 1.843 Pr
0.375 -6.914 1.912 Pr
-1.211 -1.767 -1.887 Nd
1.915 -1.193 -0.112 Nd
-4.340 -10.379 3.867 Nd
2.188 -4.046 2.381 Y
-4.613 -7.527 1.374 Y
-3.290 -5.114 -1.736 Y
0.865 -6.458 5.492 Y
-2.412 -7.340 4.104 Y
-5.175 -5.618 4.266 Y
2.750 -5.955 -0.510 Y
-0.013 -4.232 -0.349 Y
```

Output
Formation energy (eV/atom): 0.25
Energy above the lowest structure with this stoichiometry (eV/atom): 0.017